(1)
DFT (PBE) results for a relaxed structure of RhSeBr2.

Properties
- ΔE_f (raw) (eV per atom) = 0.614
- energy relative to the lowest polymorph listed for this composition (meV/atom) = 870
- final energy (eV/atom) = -2.93
- symmetry = P2/m (10)

Cell: 3.9745 3.8808 5.7412 Å, 90.00 94.69 90.00°
With the nearest neighbours (Å) after each atom.
Element x y z (fractional)
Rh1 0.0000 0.0000 0.0000  6 Br 2.78-2.87
Se1 0.5000 0.5000 0.5000  6 Br 2.78-2.87
Br1 0.0000 0.0000 0.5000  4 Se 2.78, 2 Rh 2.87
Br2 0.5000 0.5000 0.0000  4 Rh 2.78, 2 Se 2.87

---

(2)
DFT (PBE) results for a relaxed structure of LuAl2Sn.

Properties
- DFT formation energy (eV/f.u.) = -1.329
- final energy (eV/atom) = -4.33
- symmetry = P4/mmm (123)

Cell: 4.3795 4.3795 4.3471 Å, 90.00 90.00 90.00°
With the nearest neighbours (Å) after each atom.
Element x y z (fractional)
Lu1 0.0000 0.0000 0.0000  8 Al 3.09, 4 Sn 3.10
Al1 0.0000 0.5000 0.5000  4 Sn 3.09, 4 Lu 3.09, 4 Al 3.10
Al2 0.5000 0.0000 0.5000  4 Sn 3.09, 4 Lu 3.09, 4 Al 3.10
Sn1 0.5000 0.5000 0.0000  8 Al 3.09, 4 Lu 3.10

---

(3)
DFT (PBE) results for a relaxed structure of Co3BSb.

Properties
- ΔE_f (raw) (eV per atom) = -0.018
- energy relative to the lowest polymorph listed for this composition (meV/atom) = 0
- final energy (eV/atom) = -6.44
- symmetry = Pm-3m (221)

Cell: 3.8849 3.8849 3.8849 Å, 90.00 90.00 90.00°
With the nearest neighbours (Å) after each atom.
Element x y z (fractional)
Co1 0.0000 0.0000 0.5000  2 B 1.94
Co2 0.0000 0.5000 0.0000  2 B 1.94
Co3 0.5000 0.0000 0.0000  2 B 1.94
B1 0.0000 0.0000 0.0000  6 Co 1.94
Sb1 0.5000 0.5000 0.5000  12 Co 2.75

---

Volume list, top to bottom, in Å³/f.u.: 88, 83, 59